Record 1
# KCr | Alexandria | GGA-PBE | optimized geometry
data_KCr
_space_group_name_H-M_alt 'P 1'
_space_group_IT_number 1
_cell_length_a 11.097
_cell_length_b 4.661
_cell_length_c 11.320
_cell_angle_alpha 90.00
_cell_angle_beta 90.00
_cell_angle_gamma 90.00
loop_
_space_group_symop_operation_xyz
'x,y,z'
loop_
_atom_site_label
_atom_site_fract_x
_atom_site_fract_y
_atom_site_fract_z
K1 0.365 0.250 0.603
K2 0.865 0.250 0.897
K3 0.635 0.750 0.397
K4 0.135 0.750 0.103
K5 0.869 0.250 0.251
K6 0.369 0.250 0.249
K7 0.131 0.750 0.749
K8 0.631 0.750 0.751
Cr1 0.869 0.250 0.568
Cr2 0.369 0.250 0.932
Cr3 0.131 0.750 0.432
Cr4 0.631 0.750 0.068
Cr5 0.071 0.250 0.485
Cr6 0.571 0.250 0.015
Cr7 0.929 0.750 0.515
Cr8 0.429 0.750 0.985
# DOS(E_F) (states/eV/atom): 0.701
# Total energy (eV per cell): -72.643
# Symmetry: Pnma

=====

Record 2
# KCr2 | Alexandria | GGA-PBE | optimized geometry
data_KCr2
_space_group_name_H-M_alt 'P 1'
_space_group_IT_number 1
_cell_length_a 4.938
_cell_length_b 4.938
_cell_length_c 2.456
_cell_angle_alpha 90.00
_cell_angle_beta 90.00
_cell_angle_gamma 120.00
loop_
_space_group_symop_operation_xyz
'x,y,z'
loop_
_atom_site_label
_atom_site_fract_x
_atom_site_fract_y
_atom_site_fract_z
Cr1 0.000 0.000 0.011
Cr2 0.333 0.667 0.656
K1 0.667 0.333 0.333
# DOS(E_F) (states/eV/atom): 1.156
# Total energy (eV per cell): -14.633
# Symmetry: P-3m1

=====

Record 3
# KCr | Alexandria | GGA-PBE | optimized geometry
data_KCr
_space_group_name_H-M_alt 'P 1'
_space_group_IT_number 1
_cell_length_a 6.976
_cell_length_b 8.152
_cell_length_c 3.370
_cell_angle_alpha 78.07
_cell_angle_beta 76.02
_cell_angle_gamma 50.89
loop_
_space_group_symop_operation_xyz
'x,y,z'
loop_
_atom_site_label
_atom_site_fract_x
_atom_site_fract_y
_atom_site_fract_z
Cr1 0.978 0.935 0.043
Cr2 0.939 0.648 0.707
K1 0.575 0.480 0.473
K2 0.341 0.104 0.277
# DOS(E_F) (states/eV/atom): 0.632
# Total energy (eV per cell): -16.842
# Symmetry: C2/m

=====

Record 4
# K3Cr | Alexandria | GGA-PBE | optimized geometry
data_K3Cr
_space_group_name_H-M_alt 'P 1'
_space_group_IT_number 1
_cell_length_a 4.355
_cell_length_b 4.355
_cell_length_c 11.396
_cell_angle_alpha 90.00
_cell_angle_beta 90.00
_cell_angle_gamma 89.93
loop_
_space_group_symop_operation_xyz
'x,y,z'
loop_
_atom_site_label
_atom_site_fract_x
_atom_site_fract_y
_atom_site_fract_z
Cr1 0.000 0.000 0.000
K1 0.500 0.500 0.815
K2 0.000 0.000 0.500
K3 0.500 0.500 0.185
# DOS(E_F) (states/eV/atom): 0.710
# Total energy (eV per cell): -10.382
# Symmetry: Cmmm

=====

Record 5
# KCr | Alexandria | GGA-PBE | optimized geometry
data_KCr
_space_group_name_H-M_alt 'P 1'
_space_group_IT_number 1
_cell_length_a 5.787
_cell_length_b 5.787
_cell_length_c 5.787
_cell_angle_alpha 60.00
_cell_angle_beta 60.00
_cell_angle_gamma 60.00
loop_
_space_group_symop_operation_xyz
'x,y,z'
loop_
_atom_site_label
_atom_site_fract_x
_atom_site_fract_y
_atom_site_fract_z
Cr1 0.000 0.000 0.000
Cr2 0.250 0.250 0.250
K1 0.500 0.500 0.500
K2 0.750 0.750 0.750
# DOS(E_F) (states/eV/atom): 0.572
# Total energy (eV per cell): -16.608
# Symmetry: Fd-3m

=====

Record 6
# K3Cr | Alexandria | GGA-PBE | optimized geometry
data_K3Cr
_space_group_name_H-M_alt 'P 1'
_space_group_IT_number 1
_cell_length_a 8.358
_cell_length_b 8.358
_cell_length_c 13.278
_cell_angle_alpha 90.00
_cell_angle_beta 90.00
_cell_angle_gamma 120.00
loop_
_space_group_symop_operation_xyz
'x,y,z'
loop_
_atom_site_label
_atom_site_fract_x
_atom_site_fract_y
_atom_site_fract_z
Cr1 0.000 0.000 0.000
Cr2 0.000 0.000 0.500
Cr3 0.333 0.667 0.250
Cr4 0.667 0.333 0.750
K1 0.500 0.000 0.000
K2 0.500 0.000 0.500
K3 0.000 0.500 0.000
K4 0.500 0.500 0.000
K5 0.500 0.500 0.500
K6 0.000 0.500 0.500
K7 0.844 0.689 0.250
K8 0.156 0.311 0.750
K9 0.311 0.156 0.250
K10 0.844 0.156 0.250
K11 0.156 0.844 0.750
K12 0.689 0.844 0.750
# DOS(E_F) (states/eV/atom): 0.679
# Total energy (eV per cell): -41.230
# Symmetry: P6_3/mmc

=====

Record 7
# KCr | Alexandria | GGA-PBE | optimized geometry
data_KCr
_space_group_name_H-M_alt 'P 1'
_space_group_IT_number 1
_cell_length_a 3.240
_cell_length_b 3.240
_cell_length_c 10.439
_cell_angle_alpha 90.00
_cell_angle_beta 90.00
_cell_angle_gamma 90.00
loop_
_space_group_symop_operation_xyz
'x,y,z'
loop_
_atom_site_label
_atom_site_fract_x
_atom_site_fract_y
_atom_site_fract_z
Cr1 0.250 0.250 0.027
Cr2 0.750 0.750 0.973
K1 0.250 0.250 0.705
K2 0.750 0.750 0.295
# DOS(E_F) (states/eV/atom): 1.155
# Total energy (eV per cell): -17.505
# Symmetry: P4/nmm

=====

Record 8
# KCr | Alexandria | GGA-PBE | optimized geometry
data_KCr
_space_group_name_H-M_alt 'P 1'
_space_group_IT_number 1
_cell_length_a 3.541
_cell_length_b 3.541
_cell_length_c 5.533
_cell_angle_alpha 90.00
_cell_angle_beta 90.00
_cell_angle_gamma 90.00
loop_
_space_group_symop_operation_xyz
'x,y,z'
loop_
_atom_site_label
_atom_site_fract_x
_atom_site_fract_y
_atom_site_fract_z
Cr1 0.000 0.000 0.000
K1 0.500 0.500 0.500
# DOS(E_F) (states/eV/atom): 0.530
# Total energy (eV per cell): -8.227
# Symmetry: P4/mmm

=====

Record 9
# K2Cr | Alexandria | GGA-PBE | optimized geometry
data_K2Cr
_space_group_name_H-M_alt 'P 1'
_space_group_IT_number 1
_cell_length_a 10.191
_cell_length_b 10.191
_cell_length_c 4.804
_cell_angle_alpha 90.00
_cell_angle_beta 90.00
_cell_angle_gamma 120.00
loop_
_space_group_symop_operation_xyz
'x,y,z'
loop_
_atom_site_label
_atom_site_fract_x
_atom_site_fract_y
_atom_site_fract_z
K1 0.265 0.000 0.000
K2 0.000 0.265 0.000
K3 0.735 0.735 0.000
K4 0.599 0.000 0.500
K5 0.000 0.599 0.500
K6 0.401 0.401 0.500
Cr1 0.333 0.667 0.000
Cr2 0.667 0.333 0.000
Cr3 0.000 0.000 0.500
# DOS(E_F) (states/eV/atom): 0.617
# Total energy (eV per cell): -27.820
# Symmetry: P-62m

=====

Record 10
# KCr | Alexandria | GGA-PBE | optimized geometry
data_KCr
_space_group_name_H-M_alt 'P 1'
_space_group_IT_number 1
_cell_length_a 3.431
_cell_length_b 3.079
_cell_length_c 10.500
_cell_angle_alpha 82.25
_cell_angle_beta 90.00
_cell_angle_gamma 90.00
loop_
_space_group_symop_operation_xyz
'x,y,z'
loop_
_atom_site_label
_atom_site_fract_x
_atom_site_fract_y
_atom_site_fract_z
Cr1 0.000 0.100 0.887
Cr2 0.500 0.650 0.863
K1 0.000 0.481 0.577
K2 0.500 0.269 0.173
# DOS(E_F) (states/eV/atom): 1.092
# Total energy (eV per cell): -17.452
# Symmetry: P2_1/m

=====

Record 11
# KCr2 | Alexandria | GGA-PBE | optimized geometry
data_KCr2
_space_group_name_H-M_alt 'P 1'
_space_group_IT_number 1
_cell_length_a 5.577
_cell_length_b 5.577
_cell_length_c 6.532
_cell_angle_alpha 90.00
_cell_angle_beta 90.00
_cell_angle_gamma 120.00
loop_
_space_group_symop_operation_xyz
'x,y,z'
loop_
_atom_site_label
_atom_site_fract_x
_atom_site_fract_y
_atom_site_fract_z
K1 0.667 0.333 0.250
K2 0.333 0.667 0.750
Cr1 0.000 0.000 0.000
Cr2 0.000 0.000 0.500
Cr3 0.333 0.667 0.250
Cr4 0.667 0.333 0.750
# DOS(E_F) (states/eV/atom): 0.494
# Total energy (eV per cell): -30.820
# Symmetry: P6_3/mmc

=====

Record 12
# KCr2 | Alexandria | GGA-PBE | optimized geometry
data_KCr2
_space_group_name_H-M_alt 'P 1'
_space_group_IT_number 1
_cell_length_a 9.445
_cell_length_b 9.445
_cell_length_c 9.445
_cell_angle_alpha 149.63
_cell_angle_beta 149.63
_cell_angle_gamma 43.49
loop_
_space_group_symop_operation_xyz
'x,y,z'
loop_
_atom_site_label
_atom_site_fract_x
_atom_site_fract_y
_atom_site_fract_z
K1 0.000 0.000 0.000
K2 0.750 0.250 0.500
Cr1 0.582 0.582 0.000
Cr2 0.168 0.668 0.500
Cr3 0.418 0.418 0.000
Cr4 0.332 0.832 0.500
# DOS(E_F) (states/eV/atom): 0.722
# Total energy (eV per cell): -31.327
# Symmetry: I4_1/amd